VASP calculation (GGA+U) on an optimized crystal structure of CeV2O5.

```
16
Lattice="3.918 0.000 0.000 -1.959 5.067 0.000 0.000 0.000 9.778" Properties=species:S:1:pos:R:3 pbc="T T T"
O 0.000 3.425 0.295
O 1.959 1.642 9.483
O 0.000 0.475 3.692
O 1.959 4.592 8.581
O 1.959 1.642 5.183
O 1.959 4.592 6.086
O 0.000 0.475 1.197
O 0.000 3.425 4.594
O 0.000 2.202 7.333
O 1.959 2.865 2.444
Ce 0.000 4.368 7.333
Ce 1.959 0.699 2.444
V 0.000 1.487 9.235
V 0.000 1.487 5.431
V 1.959 3.580 0.542
V 1.959 3.580 4.347
```

Summary:
* total energy: -0.603 Ry per atom